This record from Alexandria describes CoP2OsF after structural relaxation. The functional is PBE+U.

Unit cell a=4.3198 b=3.6878 c=4.3198 alpha=90.00 beta=90.00 gamma=90.00
Last column: nearest neighbours and their distance in Å.
Positions (direct):
1 P 0.0000 0.0000 0.5000  2 F 2.16
2 P 0.5000 0.0000 0.0000  2 F 2.16
3 Co 0.0000 0.5000 0.0000  2 F 1.84
4 Os 0.5000 0.5000 0.5000  8 P 2.84, 4 Co 3.05
5 F 0.0000 0.0000 0.0000  2 Co 1.84

DFT total energy in eV/atom: -4.97
Space-group type: P4/mmm
Total magnetization in μB/cell: 2.0